# BaCrHgF6, relaxed, DFT GGA+U
data_BaCrHgF6
_symmetry_space_group_name_H-M 'P 1'
_symmetry_Int_Tables_number 1
_cell_length_a 5.7762
_cell_length_b 5.7775
_cell_length_c 4.7797
_cell_angle_alpha 89.99
_cell_angle_beta 90.00
_cell_angle_gamma 60.01
loop_
_symmetry_equiv_pos_as_xyz
'x,y,z'
loop_
_atom_site_label
_atom_site_fract_x
_atom_site_fract_y
_atom_site_fract_z
_atom_site_occupancy
F1 0.5070 0.9854 0.7696 1
F2 0.3341 0.8327 0.3228 1
Ba1 0.0000 0.0000 0.8595 1
F3 0.5074 0.5069 0.7695 1
Cr1 0.6666 0.6667 0.5370 1
Hg1 0.3333 0.3333 0.3259 1
F4 0.9855 0.5075 0.7697 1
F5 0.8331 0.3342 0.3229 1
F6 0.8327 0.8333 0.3230 1
# E	-45.15	eV/cell